NaAgF4 | GGA-PBEsol | relaxed

Computed properties:
- energy relative to the elements, uncorrected (kJ/mol of formula units) = -993
- theoretical density (Mg/m³) = 4.31
- energy (eV/atom) = -3.7849
- volume (A^3/atom) = 13.29
- DOS(E_F) (states/eV per cell) = 0.00

Cell: 5.5166 5.5166 10.4812 Å, 90.00 90.00 90.00°
Space group I4/mcm (No. 140)
Symmetry-distinct sites (fractional):
Na 0.0000 0.0000 0.2500 x4
Ag 0.0000 0.5000 0.0000 x4
F 0.1782 0.3218 0.1270 x16